Model 1:
NbNi2Pt6: optimized geometry, PBE-GGA.

Values from the calculation:
volume = 15.0 Å³/atom
symmetry = C2/m, No. 12
density of states at the Fermi level = 9.8 states/eV per cell

The structure in CIF format:
```
data_NbNi2Pt6
_symmetry_space_group_name_H-M 'P 1'
_symmetry_Int_Tables_number 1
_cell_length_a 4.443
_cell_length_b 5.204
_cell_length_c 6.838
_cell_angle_alpha 82.49
_cell_angle_beta 71.04
_cell_angle_gamma 64.73
loop_
_symmetry_equiv_pos_as_xyz
'x,y,z'
loop_
_atom_site_label
_atom_site_type_symbol
_atom_site_fract_x
_atom_site_fract_y
_atom_site_fract_z
Pt1 Pt 0.672 0.752 0.903
Pt2 Pt 0.996 0.176 0.831
Ni1 Ni 0.323 0.577 0.777
Ni2 Ni 0.677 0.423 0.223
Pt3 Pt 0.004 0.824 0.169
Nb1 Nb 0.000 0.500 0.500
Pt4 Pt 0.347 0.877 0.430
Pt5 Pt 0.328 0.248 0.097
Pt6 Pt 0.653 0.123 0.570
```


Model 2:
NbNi2Pt6: optimized geometry, PBE-GGA.

Values from the calculation:
volume = 14.9 Å³/atom
symmetry = C2/m, No. 12
density of states at the Fermi level = 11.4 states/eV per cell

The structure in CIF format:
```
data_NbNi2Pt6
_symmetry_space_group_name_H-M 'P 1'
_symmetry_Int_Tables_number 1
_cell_length_a 3.888
_cell_length_b 6.186
_cell_length_c 6.214
_cell_angle_alpha 108.01
_cell_angle_beta 108.23
_cell_angle_gamma 90.00
loop_
_symmetry_equiv_pos_as_xyz
'x,y,z'
loop_
_atom_site_label
_atom_site_type_symbol
_atom_site_fract_x
_atom_site_fract_y
_atom_site_fract_z
Pt1 Pt 0.842 0.498 0.684
Pt2 Pt 0.158 0.502 0.316
Ni1 Ni 0.053 0.831 0.105
Pt3 Pt 0.606 0.166 0.213
Pt4 Pt 0.280 0.166 0.560
Nb1 Nb 0.500 0.500 0.000
Pt5 Pt 0.394 0.834 0.787
Pt6 Pt 0.720 0.834 0.440
Ni2 Ni 0.947 0.169 0.895
```


model 2 comes first in stability; the runner-up is 103 meV/atom higher.